# 1
{
  "formula": "K2PbBr4",
  "functional": "PBE",
  "state": "optimized geometry",
  "lattice": [[4.592, 0.000, 0.000], [0.000, 7.708, -2.837], [0.000, 0.218, 8.210]],
  "species": ["Br", "Br", "Br", "Br", "K", "K", "Pb"],
  "fractional_positions": [[0.000, 0.229, 0.771], [0.000, 0.771, 0.229], [0.500, 0.784, 0.784], [0.500, 0.216, 0.216], [0.500, 0.500, 0.000], [0.500, 0.000, 0.500], [0.000, 0.000, 0.000]],
  "dos_at_fermi_per_ev_cell": 0.00,
  "m_tot_mub_per_fu": 0.00,
  "raw_formation_energy_ev_per_atom": -1.41
}

=====

# 2
{
  "formula": "KPbBr2",
  "functional": "PBE",
  "state": "optimized geometry",
  "lattice": [[8.579, -0.049, -0.115], [-4.447, 4.849, 0.052], [-0.316, 1.485, 3.476]],
  "species": ["K", "Pb", "Br", "Br"],
  "fractional_positions": [[0.000, 0.500, 0.500], [0.500, 0.500, 0.000], [0.500, 0.000, 0.500], [0.000, 0.000, 0.000]],
  "dos_at_fermi_per_ev_cell": 1.01,
  "m_tot_mub_per_fu": 0.00,
  "raw_formation_energy_ev_per_atom": -0.96
}

=====

# 3
{
  "formula": "K5PbBr8",
  "functional": "PBE",
  "state": "optimized geometry",
  "lattice": [[-1.660, -7.845, -2.992], [7.529, 2.680, -3.064], [0.316, -0.200, 8.550]],
  "species": ["K", "K", "K", "K", "K", "Br", "Br", "Br", "Br", "Br", "Br", "Br", "Br", "Pb"],
  "fractional_positions": [[0.891, 0.881, 0.254], [0.373, 0.119, 0.010], [0.990, 0.363, 0.109], [0.500, 0.000, 0.500], [0.746, 0.637, 0.627], [0.118, 0.718, 0.518], [0.800, 0.282, 0.401], [0.276, 0.270, 0.396], [0.994, 0.120, 0.724], [0.126, 0.730, 0.006], [0.604, 0.880, 0.874], [0.482, 0.600, 0.200], [0.599, 0.400, 0.882], [0.250, 0.500, 0.750]],
  "dos_at_fermi_per_ev_cell": 7.91,
  "m_tot_mub_per_fu": 1.20,
  "raw_formation_energy_ev_per_atom": -1.38
}

=====

# 4
{
  "formula": "KPbBr4",
  "functional": "PBE",
  "state": "optimized geometry",
  "lattice": [[-4.008, -5.192, -5.173], [4.237, -4.637, 3.870], [-5.599, 4.118, 5.701]],
  "species": ["Br", "Br", "Br", "Br", "Br", "Br", "Br", "Br", "K", "K", "Pb", "Pb"],
  "fractional_positions": [[0.259, 0.524, 0.594], [0.601, 0.794, 0.051], [0.834, 0.070, 0.594], [0.950, 0.257, 0.051], [0.741, 0.476, 0.406], [0.050, 0.743, 0.949], [0.399, 0.206, 0.949], [0.166, 0.930, 0.406], [0.634, 0.384, 0.769], [0.366, 0.616, 0.231], [0.093, 0.843, 0.686], [0.907, 0.157, 0.314]],
  "dos_at_fermi_per_ev_cell": 7.83,
  "m_tot_mub_per_fu": 0.00,
  "raw_formation_energy_ev_per_atom": -0.95
}

=====

# 5
{
  "formula": "K2PbBr",
  "functional": "PBE",
  "state": "optimized geometry",
  "lattice": [[6.133, 0.000, 0.000], [0.000, 3.634, 0.001], [0.000, -0.004, 7.042]],
  "species": ["K", "K", "Pb", "Br"],
  "fractional_positions": [[0.500, 0.124, 0.294], [0.000, 0.126, 0.887], [0.000, 0.625, 0.408], [0.500, 0.624, 0.912]],
  "dos_at_fermi_per_ev_cell": 1.95,
  "m_tot_mub_per_fu": 0.00,
  "raw_formation_energy_ev_per_atom": -0.62
}

=====

# 6
{
  "formula": "K2PbBr",
  "functional": "PBE",
  "state": "optimized geometry",
  "lattice": [[7.649, 0.018, 0.000], [4.518, 6.172, 0.000], [-6.084, -3.095, 3.453]],
  "species": ["Pb", "K", "K", "Br"],
  "fractional_positions": [[0.500, 0.500, 0.000], [0.000, 0.000, 0.000], [0.250, 0.750, 0.500], [0.750, 0.250, 0.500]],
  "dos_at_fermi_per_ev_cell": 3.24,
  "m_tot_mub_per_fu": 0.55,
  "raw_formation_energy_ev_per_atom": -0.49
}